Entry 1:
A plane-wave DFT calculation with PBE was carried out for a relaxed structure of NbW2Au.

Calculated formation energy ... 3.97 eV/f.u.
Total energy ... -8.8210 eV per atom
Energy relative to the lowest polymorph listed for this composition ... 0.503 eV/atom

Cell lengths 7.3689, 7.3689, 5.4755 Å; angles 90.00, 90.00, 90.00 degrees
Last column: nearest neighbours and their distance in Å.
Atoms (fractional coordinates):
Nb: 0.0000 0.0000 0.0000  4 W 2.69, 2 Au 2.74
Nb: 0.0000 0.5000 0.2500  4 W 2.69, 2 Au 2.74
Nb: 0.5000 0.0000 0.7500  4 W 2.69, 2 Au 2.74
Nb: 0.5000 0.5000 0.5000  4 W 2.69, 2 Au 2.74
W: 0.2488 0.2500 0.1250  2 Nb 2.69, 2 Au 2.70, 2 W 2.74
W: 0.2500 0.7488 0.3750  2 Nb 2.69, 2 Au 2.70, 2 W 2.74
W: 0.2500 0.7512 0.8750  2 Nb 2.69, 2 Au 2.70, 2 W 2.74
W: 0.2512 0.2500 0.6250  2 Nb 2.69, 2 Au 2.70, 2 W 2.74
W: 0.7488 0.7500 0.6250  2 Nb 2.69, 2 Au 2.70, 2 W 2.74
W: 0.7500 0.2488 0.8750  2 Nb 2.69, 2 Au 2.70, 2 W 2.74
W: 0.7500 0.2512 0.3750  2 Nb 2.69, 2 Au 2.70, 2 W 2.74
W: 0.7512 0.7500 0.1250  2 Nb 2.69, 2 Au 2.70, 2 W 2.74
Au: 0.0000 0.0000 0.5000  4 W 2.70, 2 Nb 2.74
Au: 0.0000 0.5000 0.7500  4 W 2.70, 2 Nb 2.74
Au: 0.5000 0.0000 0.2500  4 W 2.70, 2 Nb 2.74
Au: 0.5000 0.5000 0.0000  4 W 2.70, 2 Nb 2.74

Entry 2:
A plane-wave DFT calculation with PBE was carried out for a relaxed structure of NbWAu2.

Calculated formation energy ... 1.92 eV/f.u.
Total energy ... -6.9133 eV per atom
Energy relative to the lowest polymorph listed for this composition ... 0.000 eV/atom

Cell lengths 6.5545, 6.5545, 6.5545 Å; angles 90.00, 90.00, 90.00 degrees
Last column: nearest neighbours and their distance in Å.
Atoms (fractional coordinates):
Nb: 0.0000 0.0000 0.0000  8 Au 2.84
Nb: 0.0000 0.5000 0.5000  8 Au 2.84
Nb: 0.5000 0.0000 0.5000  8 Au 2.84
Nb: 0.5000 0.5000 0.0000  8 Au 2.84
W: 0.0000 0.0000 0.5000  8 Au 2.84
W: 0.0000 0.5000 0.0000  8 Au 2.84
W: 0.5000 0.0000 0.0000  8 Au 2.84
W: 0.5000 0.5000 0.5000  8 Au 2.84
Au: 0.2500 0.2500 0.2500  4 Nb 2.84, 4 W 2.84
Au: 0.2500 0.2500 0.7500  4 Nb 2.84, 4 W 2.84
Au: 0.2500 0.7500 0.2500  4 Nb 2.84, 4 W 2.84
Au: 0.2500 0.7500 0.7500  4 Nb 2.84, 4 W 2.84
Au: 0.7500 0.2500 0.2500  4 Nb 2.84, 4 W 2.84
Au: 0.7500 0.2500 0.7500  4 Nb 2.84, 4 W 2.84
Au: 0.7500 0.7500 0.2500  4 Nb 2.84, 4 W 2.84
Au: 0.7500 0.7500 0.7500  4 Nb 2.84, 4 W 2.84